[1]
CuPOs2 after structural relaxation. Source: the Alexandria database, functional PBE.

Summary:
Energy relative to the elements = 254 meV per atom

Unit cell a=2.8881 b=2.8881 c=6.3327 alpha=90.00 beta=90.00 gamma=90.00
Atoms (fractional coordinates):
1 Cu 0.5000 0.5000 0.7250
2 Os 0.0000 0.0000 0.9908
3 Os 0.5000 0.5000 0.2807
4 P 0.0000 0.0000 0.5035

[2]
CuPOs after structural relaxation. Source: the Alexandria database, functional PBE.

Summary:
Distance to the lowest polymorph of the same formula = 0.033 eV per atom
Energy relative to the elements = 42 meV per atom

Unit cell a=4.9319 b=4.9319 c=4.9319 alpha=144.97 beta=144.97 gamma=50.39
Atoms (fractional coordinates):
1 Cu 0.0103 0.0103 0.0000
2 Os 0.3105 0.3105 0.0000
3 P 0.6792 0.6792 0.0000